Computed, not measured: a relaxed structure of Cu2AgSb at the PBE-GGA level of DFT.

a = 4.686 Å, b = 4.686 Å, c = 4.952 Å
α = 78.73°, β = 78.73°, γ = 40.46°
Fractional positions:
Sb 0.250 0.250 0.250
Ag 0.750 0.750 0.750
Cu 0.498 0.498 0.518
Cu 0.002 0.002 0.982

Computed properties:
Raw total energy = -0.2639 Ry per atom
E_form (uncorrected) = 0.201 eV/atom